(1)
First-principles (GGA-PBE) data for an optimized crystal structure of SiMo2Se, as listed in the Alexandria database.

```
SiMo2Se
1.0
1.650 -2.390 0.000
1.650 2.390 0.000
0.000 0.000 8.017
Si Mo Se
1 2 1
Direct
0.000 0.000 0.000
0.500 0.500 0.233
0.500 0.500 0.767
0.000 0.000 0.500
```

Calculated values
- Raw formation energy: 120 kJ/mol of formula units
- Space-group type: Cmmm
- Energy above the lowest structure with this stoichiometry: 0.4364 eV per atom

=====

(2)
First-principles (GGA-PBE) data for an optimized crystal structure of Si2MoSe, as listed in the Alexandria database.

```
Si2MoSe
1.0
3.324 0.000 0.000
0.000 3.216 0.000
-1.362 0.000 6.034
Si Mo Se
2 1 1
Direct
0.081 0.000 0.209
0.919 0.000 0.791
0.500 0.500 0.000
0.500 0.500 0.500
```

Calculated values
- Raw formation energy: 35 kJ/mol of formula units
- Space-group type: P2/m

=====

(3)
First-principles (GGA-PBE) data for an optimized crystal structure of SiMo2Se, as listed in the Alexandria database.

```
SiMo2Se
1.0
3.253 0.000 0.000
0.000 3.253 0.000
0.000 0.000 5.818
Si Mo Se
1 2 1
Direct
0.000 0.000 0.000
0.000 0.000 0.487
0.500 0.500 0.167
0.500 0.500 0.697
```

Calculated values
- Raw formation energy: -49 kJ/mol of formula units
- Space-group type: P4mm
- Energy above the lowest structure with this stoichiometry: 0.0000 eV per atom

=====

(4)
First-principles (GGA-PBE) data for an optimized crystal structure of Si2MoSe, as listed in the Alexandria database.

```
Si2MoSe
1.0
4.222 -1.622 0.000
4.222 1.622 0.000
-0.436 0.000 5.076
Si Mo Se
2 1 1
Direct
0.000 0.000 0.000
0.239 0.239 0.785
0.731 0.731 0.158
0.419 0.419 0.441
```

Calculated values
- Raw formation energy: 54 kJ/mol of formula units
- Space-group type: Cm

=====

| no. | ρ (g/cm³) |
| --- | --- |
| 1 | 7.85 |
| 2 | 5.95 |
| 3 | 8.06 |
| 4 | 5.52 |